CrSb2H12C8O4: relaxed, GGA+U.

Results
Its size of the total moment is 0.0 μB per formula unit. The value obtained for the energy is -156.24 eV per formula unit.

Cell: 9.2166 9.2166 10.5260 Å, 110.65 110.65 80.29°
With the nearest neighbours (Å) after each atom.
Sites, in units of the cell vectors:
Cr: 0.2019 0.2019 0.2931  4 C 1.86-1.90
Cr: 0.7981 0.7981 0.7069  4 C 1.86-1.90
Sb: 0.1010 0.7775 0.8467  2 C 2.17
Sb: 0.2225 0.8990 0.1533  2 C 2.17
Sb: 0.7775 0.1010 0.8467  2 C 2.17
Sb: 0.8990 0.2225 0.1533  2 C 2.17
H: 0.0046 0.2335 0.8195  1 C 1.10
H: 0.1446 0.6208 0.1432  1 C 1.10
H: 0.1702 0.4797 0.7047  1 C 1.09
H: 0.1743 0.7570 0.3198  1 C 1.10
H: 0.1776 0.4891 0.8797  1 C 1.10
H: 0.2335 0.0046 0.8195  1 C 1.10
H: 0.2430 0.8257 0.6802  1 C 1.10
H: 0.3367 0.5542 0.8560  1 C 1.10
H: 0.3792 0.8554 0.8568  1 C 1.10
H: 0.4458 0.6633 0.1440  1 C 1.10
H: 0.4797 0.1702 0.7047  1 C 1.09
H: 0.4891 0.1776 0.8797  1 C 1.10
H: 0.5109 0.8224 0.1203  1 C 1.10
H: 0.5203 0.8298 0.2953  1 C 1.09
H: 0.5542 0.3367 0.8560  1 C 1.10
H: 0.6208 0.1446 0.1432  1 C 1.10
H: 0.6633 0.4458 0.1440  1 C 1.10
H: 0.7570 0.1743 0.3198  1 C 1.10
H: 0.7665 0.9954 0.1805  1 C 1.10
H: 0.8224 0.5109 0.1203  1 C 1.10
H: 0.8257 0.2430 0.6802  1 C 1.10
H: 0.8298 0.5203 0.2953  1 C 1.09
H: 0.8554 0.3792 0.8568  1 C 1.10
H: 0.9954 0.7665 0.1805  1 C 1.10
C: 0.1208 0.7404 0.2051  3 H 1.10
C: 0.1492 0.1492 0.4302  1 O 1.17
C: 0.1896 0.4108 0.3976  1 O 1.17
C: 0.2105 0.5457 0.8189  3 H 1.09-1.10
C: 0.2521 0.2521 0.1545  1 O 1.17
C: 0.2596 0.8792 0.7949  3 H 1.10
C: 0.4108 0.1896 0.3976  1 O 1.17
C: 0.4543 0.7895 0.1811  3 H 1.09-1.10
C: 0.5457 0.2105 0.8189  3 H 1.09-1.10
C: 0.5892 0.8104 0.6024  1 O 1.17
C: 0.7404 0.1208 0.2051  3 H 1.10
C: 0.7479 0.7479 0.8455  1 O 1.17
C: 0.7895 0.4543 0.1811  3 H 1.09-1.10
C: 0.8104 0.5892 0.6024  1 O 1.17
C: 0.8508 0.8508 0.5698  1 O 1.17
C: 0.8792 0.2596 0.7949  3 H 1.10
O: 0.1220 0.1220 0.5194  1 C 1.17
O: 0.1846 0.5420 0.4667  1 C 1.17
O: 0.2877 0.2877 0.0732  1 C 1.17
O: 0.4580 0.8154 0.5333  1 C 1.17
O: 0.5420 0.1846 0.4667  1 C 1.17
O: 0.7123 0.7123 0.9268  1 C 1.17
O: 0.8154 0.4580 0.5333  1 C 1.17
O: 0.8780 0.8780 0.4806  1 C 1.17